(1)
# Tl3Tc | Alexandria via LeMat-Bulk | PBE-GGA | optimized geometry
# **ρ**: 11.32 g cm⁻³
# **DFT total energy**: -3.8874 eV per atom
# **Excess energy over the best structure of this formula in the dataset**: 81 meV per atom
# **Spin magnetization**: 0.011 μB/cell
data_Tl3Tc
_chemical_formula_sum 'Tl6 Tc2'
_space_group_name_H-M_alt 'I m m m'
_space_group_IT_number 71
_space_group_name_Hall '-I 2 2'
_cell_length_a 3.0552
_cell_length_b 4.7645
_cell_length_c 14.3315
_cell_angle_alpha 90.00
_cell_angle_beta 90.00
_cell_angle_gamma 90.00
loop_
_atom_site_label
_atom_site_fract_x
_atom_site_fract_y
_atom_site_fract_z
Tl1 0.0000 0.0000 0.0000
Tl2 0.0000 0.5000 0.1785
Tc1 0.0000 0.0000 0.5000

***

(2)
# NaSn2Pt5 | Alexandria via LeMat-Bulk | PBE-GGA | optimized geometry
# **ρ**: 13.18 g cm⁻³
# **DFT total energy**: -5.2758 eV per atom
# **Spin magnetization**: 0.000 μB/cell
data_NaSn2Pt5
_chemical_formula_sum 'Na2 Sn4 Pt10'
_space_group_name_H-M_alt 'I m m m'
_space_group_IT_number 71
_space_group_name_Hall '-I 2 2'
_cell_length_a 3.9004
_cell_length_b 7.6191
_cell_length_c 10.4760
_cell_angle_alpha 90.00
_cell_angle_beta 90.00
_cell_angle_gamma 90.00
loop_
_atom_site_label
_atom_site_fract_x
_atom_site_fract_y
_atom_site_fract_z
Na1 0.0000 0.0000 0.0000
Sn1 0.0000 0.5000 0.2587
Pt1 0.0000 0.1919 0.3641
Pt2 0.0000 0.5000 0.0000

***

(3)
# TiTl2Pt | Alexandria via LeMat-Bulk | PBE-GGA | optimized geometry
# **ρ**: 13.61 g cm⁻³
# **DFT total energy**: -4.5209 eV per atom
# **Excess energy over the best structure of this formula in the dataset**: 0 meV per atom
# **Spin magnetization**: 0.000 μB/cell
data_TiTl2Pt
_chemical_formula_sum 'Ti4 Tl8 Pt4'
_space_group_name_H-M_alt 'F m -3 m'
_space_group_IT_number 225
_space_group_name_Hall '-F 4 2 3'
_cell_length_a 6.8265
_cell_length_b 6.8265
_cell_length_c 6.8265
_cell_angle_alpha 90.00
_cell_angle_beta 90.00
_cell_angle_gamma 90.00
loop_
_atom_site_label
_atom_site_fract_x
_atom_site_fract_y
_atom_site_fract_z
Ti1 0.0000 0.0000 0.0000
Tl1 0.2500 0.2500 0.2500
Pt1 0.0000 0.0000 0.5000

***

(4)
# AlCoAs | Alexandria via LeMat-Bulk | PBE-GGA | optimized geometry
# **ρ**: 6.01 g cm⁻³
# **DFT total energy**: -5.1772 eV per atom
# **Spin magnetization**: 0.000 μB/cell
data_AlCoAs
_chemical_formula_sum 'Al1 Co1 As1'
_space_group_name_H-M_alt 'P -6 m 2'
_space_group_IT_number 187
_space_group_name_Hall 'P -6 2'
_cell_length_a 3.9089
_cell_length_b 3.9089
_cell_length_c 3.3605
_cell_angle_alpha 90.00
_cell_angle_beta 90.00
_cell_angle_gamma 120.00
loop_
_atom_site_label
_atom_site_fract_x
_atom_site_fract_y
_atom_site_fract_z
Al1 0.0000 0.0000 0.0000
Co1 0.6667 0.3333 0.5000
As1 0.3333 0.6667 0.5000

***

(5)
# Mg2PHC | Alexandria via LeMat-Bulk | PBE-GGA | optimized geometry
# **ρ**: 2.05 g cm⁻³
# **DFT total energy**: -3.3506 eV per atom
# **Spin magnetization**: 0.864 μB/cell
data_Mg2PHC
_chemical_formula_sum 'Mg2 P1 H1 C1'
_space_group_name_H-M_alt 'P 4/m m m'
_space_group_IT_number 123
_space_group_name_Hall '-P 4 2'
_cell_length_a 4.8531
_cell_length_b 4.8531
_cell_length_c 3.1782
_cell_angle_alpha 90.00
_cell_angle_beta 90.00
_cell_angle_gamma 90.00
loop_
_atom_site_label
_atom_site_fract_x
_atom_site_fract_y
_atom_site_fract_z
Mg1 0.0000 0.5000 0.0000
P1 0.0000 0.0000 0.0000
H1 0.0000 0.0000 0.5000
C1 0.5000 0.5000 0.5000

***

(6)
# La2YRu | Alexandria via LeMat-Bulk | PBE-GGA | optimized geometry
# **ρ**: 6.58 g cm⁻³
# **DFT total energy**: -6.6021 eV per atom
# **Excess energy over the best structure of this formula in the dataset**: 39 meV per atom
# **Spin magnetization**: 0.000 μB/cell
data_La2YRu
_chemical_formula_sum 'La8 Y4 Ru4'
_space_group_name_H-M_alt 'C m c m'
_space_group_IT_number 63
_space_group_name_Hall '-C 2c 2'
_cell_length_a 4.0775
_cell_length_b 12.2158
_cell_length_c 9.4793
_cell_angle_alpha 90.00
_cell_angle_beta 90.00
_cell_angle_gamma 90.00
loop_
_atom_site_label
_atom_site_fract_x
_atom_site_fract_y
_atom_site_fract_z
La1 0.0000 0.1403 0.0700
Y1 0.0000 0.4171 0.2500
Ru1 0.0000 0.2464 0.7500

***

(7)
# NbTc | Alexandria via LeMat-Bulk | PBE-GGA | optimized geometry
# **ρ**: 8.86 g cm⁻³
# **DFT total energy**: -9.8706 eV per atom
# **Spin magnetization**: 0.000 μB/cell
data_NbTc
_chemical_formula_sum 'Nb6 Tc6'
_space_group_name_H-M_alt 'P 63/m'
_space_group_IT_number 176
_space_group_name_Hall '-P 6c'
_cell_length_a 7.4322
_cell_length_b 7.4322
_cell_length_c 4.4872
_cell_angle_alpha 90.00
_cell_angle_beta 90.00
_cell_angle_gamma 120.00
loop_
_atom_site_label
_atom_site_fract_x
_atom_site_fract_y
_atom_site_fract_z
Nb1 0.1268 0.3047 0.2500
Tc1 0.1084 0.5088 0.7500

***

(8)
# Dy5Y2Er3 | Alexandria via LeMat-Bulk | PBE-GGA | optimized geometry
# **ρ**: 7.28 g cm⁻³
# **DFT total energy**: -4.5381 eV per atom
# **Excess energy over the best structure of this formula in the dataset**: 220 meV per atom
# **Spin magnetization**: 0.001 μB/cell
data_Dy5Y2Er3
_chemical_formula_sum 'Dy20 Y8 Er12'
_space_group_name_H-M_alt 'I b a m'
_space_group_IT_number 72
_space_group_name_Hall '-I 2 2c'
_cell_length_a 9.3214
_cell_length_b 21.7615
_cell_length_c 6.7124
_cell_angle_alpha 90.00
_cell_angle_beta 90.00
_cell_angle_gamma 90.00
loop_
_atom_site_label
_atom_site_fract_x
_atom_site_fract_y
_atom_site_fract_z
Dy1 0.0000 0.0000 0.2500
Dy2 0.0000 0.2486 0.2500
Dy3 0.0913 0.1238 0.0000
Y1 0.0940 0.3742 0.5000
Er1 0.0000 0.5000 0.2500
Er2 0.2505 0.1236 0.5000